A relaxed structure of CsCd2In. Source: Alexandria via LeMat-Bulk, functional PBE.

## Properties
calculated total energy = -1.424 eV per atom
energy relative to the elements = -0.0682 eV/atom

The structure in CIF format:
```
data_CsCd2In
_symmetry_space_group_name_H-M 'R 3 m'
_symmetry_Int_Tables_number 160
_symmetry_space_group_name_Hall 'R 3 -2"'
_cell_length_a 5.0279
_cell_length_b 5.0279
_cell_length_c 21.2055
_cell_angle_alpha 90.00
_cell_angle_beta 90.00
_cell_angle_gamma 120.00
loop_
_atom_site_label
_atom_site_type_symbol
_atom_site_fract_x
_atom_site_fract_y
_atom_site_fract_z
Cs1 Cs 0.0000 0.0000 0.0000
Cd1 Cd 0.0000 0.0000 0.4897
Cd2 Cd 0.0000 0.0000 0.8065
In1 In 0.0000 0.0000 0.1989
```

---

A relaxed structure of KHf2In. Source: Alexandria via LeMat-Bulk, functional PBE.

## Properties
calculated total energy = -5.026 eV per atom
energy relative to the elements = 0.9097 eV/atom

The structure in CIF format:
```
data_KHf2In
_symmetry_space_group_name_H-M 'I -4 2 d'
_symmetry_Int_Tables_number 122
_symmetry_space_group_name_Hall 'I -4 2bw'
_cell_length_a 4.4325
_cell_length_b 4.4325
_cell_length_c 22.3603
_cell_angle_alpha 90.00
_cell_angle_beta 90.00
_cell_angle_gamma 90.00
loop_
_atom_site_label
_atom_site_type_symbol
_atom_site_fract_x
_atom_site_fract_y
_atom_site_fract_z
K1 K 0.0000 0.0000 0.0000
Hf1 Hf 0.2233 0.2500 0.6250
In1 In 0.0000 0.0000 0.5000
```

---

A relaxed structure of PaICl4. Source: Alexandria via LeMat-Bulk, functional PBE.

## Properties
calculated total energy = -4.532 eV per atom
ΔE_f (raw) = -1460 meV per atom
E above lowest polymorph = 156 meV per atom

The structure in CIF format:
```
data_PaICl4
_symmetry_space_group_name_H-M 'P m m a'
_symmetry_Int_Tables_number 51
_symmetry_space_group_name_Hall '-P 2a 2a'
_cell_length_a 9.7355
_cell_length_b 4.1464
_cell_length_c 9.2301
_cell_angle_alpha 90.00
_cell_angle_beta 90.00
_cell_angle_gamma 90.00
loop_
_atom_site_label
_atom_site_type_symbol
_atom_site_fract_x
_atom_site_fract_y
_atom_site_fract_z
Pa1 Pa 0.2500 0.0000 0.1585
I1 I 0.2500 0.0000 0.4864
Cl1 Cl 0.0000 0.0000 0.0000
Cl2 Cl 0.0824 0.5000 0.2503
Cl3 Cl 0.2500 0.5000 0.9532
```

---

A relaxed structure of Mg3CuO4. Source: Alexandria via LeMat-Bulk, functional PBE.

## Properties
calculated total energy = -5.590 eV per atom
ΔE_f (raw) = -2001 meV per atom

The structure in CIF format:
```
data_Mg3CuO4
_symmetry_space_group_name_H-M 'P -4 3 m'
_symmetry_Int_Tables_number 215
_symmetry_space_group_name_Hall 'P -4 2 3'
_cell_length_a 4.6049
_cell_length_b 4.6049
_cell_length_c 4.6049
_cell_angle_alpha 90.00
_cell_angle_beta 90.00
_cell_angle_gamma 90.00
loop_
_atom_site_label
_atom_site_type_symbol
_atom_site_fract_x
_atom_site_fract_y
_atom_site_fract_z
Mg1 Mg 0.0000 0.0000 0.5000
Cu1 Cu 0.5000 0.5000 0.5000
O1 O 0.2470 0.2470 0.7530
```